[1]
VASP calculation (PBE-GGA) on a relaxed Pm8Sn2Ge crystal.

Cell and atoms, written as POSCAR:
```
Pm8Sn2Ge
1.0
-3.8781 0.9390 3.2495
-0.9333 -6.7867 0.8472
8.4237 2.0458 5.3875
Pm Sn Ge
8 2 1
Cartesian
4.8129 -1.5605 6.1949
0.0484 1.2327 3.7760
1.0829 -2.7184 6.1524
4.1024 1.3749 8.5732
2.5294 -1.0836 3.3318
3.5639 -5.0347 5.7081
-1.2006 -2.2414 3.2893
-0.4901 -5.1768 0.9110
1.9906 0.4091 6.3320
1.6217 -4.2111 3.1522
-1.9390 0.4695 1.6247
```

Results
formation energy from the elements: -0.424 eV per atom
crystal system: monoclinic



[2]
VASP calculation (PBE-GGA) on a relaxed FeSbTe crystal.

Cell and atoms, written as POSCAR:
```
FeSbTe
1.0
-0.3454 -2.8594 -2.3147
2.4106 2.6994 -0.7451
4.1034 -2.8586 2.9190
Fe Sb Te
1 1 1
Cartesian
4.0877 -2.8477 2.9079
1.6449 -1.7529 -1.0292
4.5394 -1.2765 0.8996
```

Results
crystal system: trigonal
E_form (uncorrected): 0.075 eV per atom



[3]
VASP calculation (PBE-GGA) on a relaxed Np3Si7Pt2 crystal.

Cell and atoms, written as POSCAR:
```
Np3Si7Pt2
1.0
-1.4226 -0.0926 -3.8247
3.7160 -1.3288 -1.3500
-5.4712 -11.2447 2.3074
Np Si Pt
3 7 2
Cartesian
-0.4218 -8.1507 0.3543
-1.3333 -4.4228 0.6031
1.1467 -0.7107 -2.5874
-1.8375 -10.6850 -1.2358
-1.3403 -1.9812 -1.6316
-0.4768 -6.1017 -1.8529
-2.7010 -6.5645 -1.0144
0.0000 0.0000 0.0000
-3.3664 -9.8103 1.4898
1.6113 -2.7632 -0.5324
0.1016 -3.7922 -2.1240
-3.2793 -8.8740 -0.7434
```

Results
crystal system: monoclinic
E_form (uncorrected): -0.431 eV per atom



no.,total energy (eV per atom)
1,-5.03
2,-5.17
3,-7.84